Entry 1:
## CsTe6AsAu (PBE)

Data for a relaxed structure of CsTe6AsAu.

The space group is Imma (No. 74) and the conventional cell measures 9.2814, 10.3825 and 13.8479 Å, with angles of 90.00, 90.00 and 90.00 degrees. The distinct sites, in fractional coordinates, are Cs at (0.0000, 0.2500, 0.1581), Te at (0.0000, 0.2500, 0.4220), Te at (0.0000, 0.2500, 0.8863), Te at (0.2455, 0.0448, 0.8822), As at (0.0000, 0.0000, 0.5000) and Au at (0.2500, 0.2500, 0.7500).

Its total energy is -3.154 eV per atom. The value obtained for the density of states at the Fermi level is 0.55 states/eV per atom. For the mass density, the calculation gives 5.83 g/cm3. The formation energy from raw total energies comes out at -84 meV per atom.


Entry 2:
## CsTe3AsAu (PBE)

Data for a relaxed structure of CsTe3AsAu.

The space group is P2_1/m (No. 11) and the conventional cell measures 10.1045, 4.2947 and 10.7658 Å, with angles of 90.00, 112.90 and 90.00 degrees. The distinct sites, in fractional coordinates, are Cs at (0.2113, 0.2500, 0.2606), Te at (0.1397, 0.2500, 0.8740), Te at (0.2322, 0.7500, 0.5732), Te at (0.4793, 0.7500, 0.1531), As at (0.3362, 0.7500, 0.8772) and Au at (0.0566, 0.2500, 0.5981).

Its total energy is -3.317 eV per atom. The value obtained for the density of states at the Fermi level is 0.62 states/eV per atom. For the mass density, the calculation gives 6.08 g/cm3. The formation energy from raw total energies comes out at -283 meV per atom.


Entry 3:
## Cs2Te4AsAu2 (PBE)

Data for a relaxed structure of Cs2Te4AsAu2.

The space group is P-1 (No. 2) and the conventional cell measures 6.1359, 7.5752 and 8.6072 Å, with angles of 92.06, 104.54 and 113.85 degrees. The distinct sites, in fractional coordinates, are Cs at (0.2459, 0.3169, 0.1742), Te at (0.0260, 0.6471, 0.3851), Te at (0.4296, 0.8994, 0.1353), As at (0.5000, 0.0000, 0.5000) and Au at (0.2399, 0.1582, 0.5973).

Its total energy is -3.198 eV per atom. The value obtained for the density of states at the Fermi level is 0.17 states/eV per atom. For the mass density, the calculation gives 5.91 g/cm3. The formation energy from raw total energies comes out at -367 meV per atom.